# 1
A relaxed AgSbS2 crystal, computed with PBE-GGA.

Output
Magnetic moment, μB/atom: 0.0000

POSCAR file:
```
AgSbS2
1.0
1.8397 1.0621 8.0331
-1.8397 1.0621 8.0331
0.0000 -2.1243 8.0331
Ag Sb S
1 1 2
direct
0.0000 0.0000 0.0000 Ag
0.5000 0.5000 0.5000 Sb
0.3929 0.3929 0.3929 S
0.6071 0.6071 0.6071 S
```



# 2
A relaxed Ag3SbS2 crystal, computed with PBE-GGA.

Output
Magnetic moment, μB/atom: 0.0000

POSCAR file:
```
Ag3SbS2
1.0
7.4972 -2.1990 0.0000
7.4972 2.1990 0.0000
-1.5817 0.0000 8.3476
Ag Sb S
6 2 4
direct
0.0129 0.0129 0.2708 Ag
0.2277 0.2277 0.8576 Ag
0.3008 0.3008 0.4527 Ag
0.6992 0.6992 0.5473 Ag
0.7723 0.7723 0.1424 Ag
0.9871 0.9871 0.7292 Ag
0.3891 0.3891 0.0974 Sb
0.6109 0.6109 0.9026 Sb
0.1260 0.1260 0.5630 S
0.4057 0.4057 0.8149 S
0.5943 0.5943 0.1851 S
0.8740 0.8740 0.4370 S
```



# 3
A relaxed Ag2Sb3S6 crystal, computed with PBE-GGA.

Output
Magnetic moment, μB/atom: 0.0000

POSCAR file:
```
Ag2Sb3S6
1.0
3.3893 -5.8452 0.0000
3.3893 5.8452 0.0000
-2.3994 0.0000 6.3693
Ag Sb S
2 3 6
direct
0.1654 0.8346 0.0000 Ag
0.8346 0.1654 0.0000 Ag
0.0000 0.0000 0.5000 Sb
0.3326 0.6674 0.5000 Sb
0.6674 0.3326 0.5000 Sb
0.0766 0.4210 0.7442 S
0.2344 0.2344 0.2465 S
0.4210 0.0766 0.7442 S
0.5790 0.9234 0.2558 S
0.7656 0.7656 0.7535 S
0.9234 0.5790 0.2558 S
```



# 4
A relaxed Ag2SbS3 crystal, computed with PBE-GGA.

Output
Energy relative to the lowest polymorph listed for this composition, meV/atom: 15
Magnetic moment, μB/atom: 0.0000

POSCAR file:
```
Ag2SbS3
1.0
6.1732 -2.6625 0.0000
6.1732 2.6625 0.0000
-2.4402 0.0000 7.3973
Ag Sb S
4 2 6
direct
0.1644 0.1652 0.0824 Ag
0.1652 0.1644 0.5824 Ag
0.8348 0.8356 0.4176 Ag
0.8356 0.8348 0.9176 Ag
0.5005 0.4995 0.2500 Sb
0.4995 0.5005 0.7500 Sb
0.0010 0.9990 0.7500 S
0.3364 0.3371 0.4188 S
0.3371 0.3364 0.9188 S
0.6629 0.6636 0.0812 S
0.6636 0.6629 0.5812 S
0.9990 0.0010 0.2500 S
```



The evaluated formation energy from raw total energies for the records listed, in turn: 0.227, 0.050, -0.152, -0.092 eV per atom.